# 1
Material: Hf12TiSb6
Method: DFT, GGA-PBE
State: relaxed

Cell lengths 8.288, 8.288, 8.288 Å; angles 110.60, 110.60, 110.60 degrees
Sites, in units of the cell vectors:
Hf 0.682 0.540 0.800
Hf 0.899 0.832 0.260
Hf 0.200 0.318 0.460
Sb 0.633 0.918 0.409
Hf 0.540 0.800 0.682
Hf 0.318 0.460 0.200
Sb 0.082 0.591 0.367
Hf 0.101 0.168 0.740
Hf 0.800 0.682 0.540
Hf 0.832 0.260 0.899
Sb 0.918 0.409 0.633
Ti 0.000 0.000 0.000
Hf 0.260 0.899 0.832
Hf 0.740 0.101 0.168
Sb 0.409 0.633 0.918
Sb 0.367 0.082 0.591
Sb 0.591 0.367 0.082
Hf 0.460 0.200 0.318
Hf 0.168 0.740 0.101

The total energy comes out at -0.6079 Ry/atom. The value obtained for the uncorrected formation energy is -267 meV/atom. As for the calculated volume: 418.9 Å³ per cell.

---

# 2
Material: Hf2Ti3Sb
Method: DFT, GGA-PBE
State: relaxed

Cell lengths 5.651, 5.651, 9.501 Å; angles 115.24, 115.24, 64.28 degrees
Sites, in units of the cell vectors:
Sb 0.332 0.332 0.663
Ti 0.829 0.829 0.160
Ti 0.171 0.171 0.840
Hf 0.242 0.758 0.000
Hf 0.758 0.242 0.000
Hf 0.750 0.250 0.500
Ti 0.670 0.670 0.840
Ti 0.841 0.841 0.682
Ti 0.159 0.159 0.318
Ti 0.330 0.330 0.160
Sb 0.668 0.668 0.337
Hf 0.250 0.750 0.500

The total energy comes out at -0.5972 Ry/atom. The value obtained for the uncorrected formation energy is -173 meV/atom. As for the calculated volume: 236.2 Å³ per cell.

---

# 3
Material: Hf3TiSb2
Method: DFT, GGA-PBE
State: relaxed

Cell lengths 4.190, 8.568, 8.500 Å; angles 120.27, 104.27, 90.00 degrees
Sites, in units of the cell vectors:
Hf 0.832 0.082 0.664
Ti 0.000 0.000 0.000
Ti 0.000 0.500 0.000
Hf 0.168 0.418 0.336
Sb 0.648 0.648 0.297
Hf 0.500 0.750 0.000
Hf 0.832 0.582 0.664
Sb 0.352 0.352 0.703
Sb 0.648 0.148 0.297
Hf 0.500 0.250 0.000
Hf 0.168 0.918 0.336
Sb 0.352 0.852 0.703

The total energy comes out at -0.5902 Ry/atom. The value obtained for the uncorrected formation energy is -364 meV/atom. As for the calculated volume: 252.6 Å³ per cell. The calculation puts the energy above the most stable polymorph in this dataset at 104.7 meV/atom.

---

# 4
Material: HfTi4Sb
Method: DFT, GGA-PBE
State: relaxed

Cell lengths 5.007, 5.007, 9.654 Å; angles 104.16, 104.16, 93.25 degrees
Sites, in units of the cell vectors:
Hf 0.219 0.281 0.000
Ti 0.589 0.576 0.665
Ti 0.924 0.911 0.335
Hf 0.781 0.719 0.000
Sb 0.000 0.500 0.500
Ti 0.802 0.302 0.171
Ti 0.411 0.424 0.335
Sb 0.500 0.000 0.500
Ti 0.076 0.089 0.665
Ti 0.198 0.698 0.829
Ti 0.631 0.131 0.829
Ti 0.369 0.869 0.171

The total energy comes out at -0.5717 Ry/atom. The value obtained for the uncorrected formation energy is -170 meV/atom. As for the calculated volume: 225.8 Å³ per cell.

---

# 5
Material: HfTi6Sb4
Method: DFT, GGA-PBE
State: relaxed

Cell lengths 7.218, 7.218, 7.218 Å; angles 82.68, 124.31, 124.31 degrees
Each line ends with the local moment (μB).
Sites, in units of the cell vectors:
Hf 0.000 0.000 0.000  -0.14
Ti 0.500 0.000 0.500  0.67
Ti 0.000 0.444 0.763  0.41
Ti 0.000 0.763 0.444  0.41
Ti 0.318 0.556 0.556  0.41
Ti 0.500 0.500 0.000  0.67
Ti 0.682 0.237 0.237  0.41
Sb 0.492 0.892 0.892  -0.02
Sb 0.508 0.401 0.401  -0.02
Sb 0.000 0.599 0.108  -0.02
Sb 0.000 0.108 0.599  -0.02

The total energy comes out at -0.5002 Ry/atom. The value obtained for the uncorrected formation energy is -95 meV/atom. As for the calculated volume: 246.3 Å³ per cell.

---

# 6
Material: HfTi5Sb3
Method: DFT, GGA-PBE
State: relaxed

Cell lengths 5.647, 8.314, 8.314 Å; angles 120.00, 90.00, 90.00 degrees
Sites, in units of the cell vectors:
Ti 0.250 0.675 0.000
Sb 0.750 0.656 0.000
Ti 0.500 0.333 0.667
Ti 0.250 0.000 0.675
Ti 0.000 0.667 0.333
Ti 0.250 0.325 0.325
Sb 0.250 0.656 0.656
Hf 0.000 0.000 0.000
Sb 0.250 0.344 0.000
Sb 0.750 0.344 0.344
Ti 0.750 0.325 0.000
Ti 0.750 0.675 0.675
Ti 0.750 0.000 0.325
Hf 0.500 0.000 0.000
Sb 0.250 0.000 0.344
Sb 0.750 0.000 0.656
Ti 0.500 0.667 0.333
Ti 0.000 0.333 0.667

The total energy comes out at -0.5312 Ry/atom. The value obtained for the uncorrected formation energy is -361 meV/atom. As for the calculated volume: 338.1 Å³ per cell. The calculation puts the energy above the most stable polymorph in this dataset at 0.0 meV/atom.

---

# 7
Material: Hf4TiSb
Method: DFT, GGA-PBE
State: relaxed

Cell lengths 5.671, 5.540, 8.875 Å; angles 90.00, 108.62, 90.00 degrees
Sites, in units of the cell vectors:
Sb 0.000 0.500 0.500
Hf 0.437 0.000 0.151
Hf 0.022 0.000 0.703
Ti 0.000 0.750 0.000
Hf 0.563 0.000 0.849
Hf 0.714 0.500 0.151
Hf 0.319 0.500 0.298
Hf 0.286 0.500 0.849
Hf 0.681 0.500 0.702
Hf 0.978 0.000 0.297
Sb 0.500 0.000 0.500
Ti 0.000 0.250 0.000

The total energy comes out at -0.6365 Ry/atom. The value obtained for the uncorrected formation energy is -21 meV/atom. As for the calculated volume: 264.2 Å³ per cell.

---

# 8
Material: Hf5Ti12Sb3
Method: DFT, GGA-PBE
State: relaxed

Cell lengths 13.767, 13.767, 13.767 Å; angles 109.47, 109.47, 109.47 degrees
Each line ends with the local moment (μB).
Sites, in units of the cell vectors:
Hf 0.875 0.250 0.625  0.83
Hf 0.625 0.875 0.250  0.83
Ti 0.350 0.923 0.773  0.27
Ti 0.150 0.423 0.073  0.27
Ti 0.850 0.273 0.423  0.27
Hf 0.625 0.750 0.875  0.83
Hf 0.750 0.125 0.875  0.83
Sb 0.125 0.875 0.750  -0.01
Ti 0.423 0.150 0.573  0.27
Hf 0.375 0.125 0.750  0.83
Ti 0.650 0.227 0.577  0.27
Ti 0.577 0.850 0.427  0.27
Hf 0.875 0.625 0.750  0.83
Ti 0.577 0.727 0.650  0.27
Ti 0.773 0.423 0.350  0.27
Ti 0.150 0.077 0.727  0.27
Ti 0.423 0.273 0.350  0.27
Ti 0.773 0.350 0.923  0.27
Sb 0.875 0.125 0.250  -0.01
Ti 0.150 0.727 0.577  0.27
Ti 0.227 0.577 0.650  0.27
Sb 0.750 0.375 0.125  -0.01
Hf 0.000 0.500 0.000  -0.04
Ti 0.073 0.923 0.150  0.27
Ti 0.150 0.073 0.923  0.27
Hf 0.250 0.375 0.625  0.83
Hf 0.125 0.750 0.375  0.83
Sb 0.375 0.625 0.250  -0.01
Ti 0.727 0.577 0.150  0.27
Ti 0.077 0.650 0.727  0.27
Ti 0.850 0.923 0.273  0.27
Ti 0.650 0.573 0.923  0.27
Ti 0.077 0.427 0.850  0.27
Ti 0.423 0.773 0.850  0.27
Ti 0.850 0.927 0.077  0.27
Ti 0.573 0.650 0.423  0.27
Ti 0.350 0.427 0.077  0.27
Hf 0.000 0.500 0.500  -0.04
Ti 0.427 0.077 0.350  0.27
Ti 0.650 0.423 0.573  0.27
Hf 0.000 0.000 0.500  -0.04
Sb 0.250 0.125 0.375  -0.01
Hf 0.125 0.375 0.250  0.83
Hf 0.500 0.000 0.000  -0.04
Sb 0.750 0.875 0.625  -0.01
Ti 0.350 0.773 0.423  0.27
Ti 0.573 0.923 0.650  0.27
Ti 0.077 0.150 0.227  0.27
Hf 0.250 0.875 0.125  0.83
Ti 0.427 0.350 0.577  0.27
Ti 0.923 0.850 0.773  0.27
Hf 0.375 0.250 0.125  0.83
Ti 0.577 0.227 0.150  0.27
Ti 0.850 0.577 0.927  0.27
Ti 0.273 0.850 0.923  0.27
Sb 0.250 0.625 0.875  -0.01
Ti 0.927 0.077 0.850  0.27
Hf 0.750 0.625 0.375  0.83
Ti 0.350 0.577 0.427  0.27
Ti 0.923 0.573 0.150  0.27
Sb 0.375 0.750 0.625  -0.01
Hf 0.500 0.000 0.500  -0.04
Ti 0.073 0.150 0.423  0.27
Sb 0.875 0.750 0.125  -0.01
Ti 0.273 0.423 0.850  0.27
Hf 0.500 0.500 0.000  -0.04
Hf 0.000 0.000 0.000  -0.04
Ti 0.650 0.077 0.227  0.27
Ti 0.923 0.073 0.650  0.27
Ti 0.727 0.150 0.077  0.27
Ti 0.927 0.850 0.577  0.27
Sb 0.625 0.250 0.375  -0.01
Ti 0.423 0.650 0.073  0.27
Hf 0.500 0.500 0.500  -0.04
Ti 0.923 0.350 0.273  0.27
Ti 0.227 0.650 0.077  0.27
Sb 0.625 0.375 0.750  -0.01
Ti 0.077 0.927 0.350  0.27
Sb 0.125 0.250 0.875  -0.01
Ti 0.577 0.350 0.927  0.27

The total energy comes out at -0.5028 Ry/atom. The value obtained for the uncorrected formation energy is 1002 meV/atom. As for the calculated volume: 2008.6 Å³ per cell.

---

Number 1: spin magnetization 0.000 μB per cell. Number 2: spin magnetization 0.000 μB per cell. Number 3: spin magnetization 0.000 μB per cell. Number 4: spin magnetization 0.001 μB per cell. Number 5: spin magnetization 3.524 μB per cell. Number 6: spin magnetization 0.001 μB per cell. Number 7: spin magnetization 0.001 μB per cell. Number 8: spin magnetization 28.589 μB per cell.